The following is a meta-GGA SCAN calculation of a crystal of CrHS2 relaxed with PBEsol, from the Alexandria database.

```
4
Lattice="1.7545 1.0130 5.7121 -1.7545 1.0130 5.7121 0.0000 -2.0259 5.7121" Properties=species:S:1:pos:R:3 pbc="T T T"
Cr 0.0000 0.0000 0.0000
H 0.0000 0.0000 8.5681
S 0.0000 0.0000 6.9398
S 0.0000 0.0000 10.1965
```

Calculated values
The calculation puts the total energy at -11.000 eV per atom. For the size of the total moment, the calculation gives 3.00 μB/f.u. The space-group type is R-3m (166).